# PBE KSn3Br, relaxed
data_KSn3Br
_symmetry_space_group_name_H-M 'P m -3 m'
_symmetry_Int_Tables_number 221
_symmetry_space_group_name_Hall '-P 4 2 3'
_cell_length_a 6.120
_cell_length_b 6.120
_cell_length_c 6.120
_cell_angle_alpha 90.00
_cell_angle_beta 90.00
_cell_angle_gamma 90.00
loop_
_atom_site_label
_atom_site_type_symbol
_atom_site_fract_x
_atom_site_fract_y
_atom_site_fract_z
K1 K 0.000 0.000 0.000
Sn1 Sn 0.000 0.000 0.500
Br1 Br 0.500 0.500 0.500
# total magnetic moment	0.000	μB per atom
# V	229.22	Å³ per cell
# energy above the lowest structure with this stoichiometry	706	meV/atom
# crystal system	cubic
# energy	-1.95	eV/atom

# PBE KSn2Br8, relaxed
data_KSn2Br8
_symmetry_space_group_name_H-M 'C 1 2/m 1'
_symmetry_Int_Tables_number 12
_symmetry_space_group_name_Hall '-C 2y'
_cell_length_a 14.413
_cell_length_b 10.034
_cell_length_c 7.562
_cell_angle_alpha 90.00
_cell_angle_beta 105.38
_cell_angle_gamma 90.00
loop_
_atom_site_label
_atom_site_type_symbol
_atom_site_fract_x
_atom_site_fract_y
_atom_site_fract_z
K1 K 0.000 0.000 0.000
Sn1 Sn 0.214 0.000 0.694
Br1 Br 0.109 0.500 0.123
Br2 Br 0.119 0.200 0.767
Br3 Br 0.203 0.000 0.348
# total magnetic moment	0.000	μB per atom
# V	1054.41	Å³ per cell
# energy above the lowest structure with this stoichiometry	0	meV/atom
# crystal system	monoclinic
# energy	-2.85	eV/atom

| no. | uncorrected formation energy (meV/atom) |
| --- | --- |
| 1 | 1010 |
| 2 | -808 |